NaZnPO after structural relaxation. Source: OQMD, functional PBE-GGA.

a b c (Å): 3.3193 6.9724 5.2861
angles (deg): 90.00 90.00 90.00
With the nearest neighbours (Å) after each atom.
Atoms (fractional coordinates):
Na  0.0000  0.1405  0.0000  4 O 2.32-2.36
Na  0.0000  0.8595  0.5000  4 O 2.32-2.36
Zn  0.5000  0.2025  0.4890  2 O 1.93-1.95
Zn  0.5000  0.7975  0.9890  2 O 1.93-1.95
P  0.0000  0.4537  0.4703  2 Zn 2.42
P  0.0000  0.5463  0.9703  2 Zn 2.42
O  0.5000  0.0084  0.7481  2 Zn 1.93-1.95
O  0.5000  0.9916  0.2481  2 Zn 1.93-1.95

Properties
Space-group type: Pmc2_1 (26)
Total energy (eV per cell): -31.24
Energy relative to the lowest polymorph listed for this composition (meV/atom): 68